1.
# GeClF2 | Alexandria | PBE-GGA | relaxed
# **Density of states at the Fermi level**: 0.0000 states/eV per atom
# **Crystal system**: triclinic
# **Relative energy among the computed polymorphs**: 0.00 eV per formula unit
# **Formation energy without anion corrections**: -1.797 eV/atom
# **V**: 375.6 Å³ per cell
data_GeClF2
_chemical_formula_sum 'Ge4 Cl4 F8'
_cell_length_a 4.982
_cell_length_b 5.603
_cell_length_c 13.535
_cell_angle_alpha 87.54
_cell_angle_beta 88.91
_cell_angle_gamma 84.33
_space_group_name_H-M_alt 'P -1'
_space_group_IT_number 2
loop_
_space_group_symop_operation_xyz
'x,y,z'
'-x,-y,-z'
loop_
_atom_site_label
_atom_site_type_symbol
_atom_site_fract_x
_atom_site_fract_y
_atom_site_fract_z
Ge1 Ge 0.014 0.228 0.130
Ge2 Ge 0.377 0.275 0.450
Cl1 Cl 0.202 0.527 0.775
Cl2 Cl 0.251 0.956 0.210
F1 F 0.215 0.896 0.942
F2 F 0.223 0.382 0.053
F3 F 0.274 0.610 0.521
F4 F 0.363 0.111 0.572

=====

2.
# Pm6Nd3Sm | Alexandria | PBE-GGA | relaxed
# **Energy of formation from the pure elements**: 2.40 eV/f.u.
# **Density of states at the Fermi level**: 1.9984 states/eV per atom
# **Crystal system**: trigonal
# **Relative energy among the computed polymorphs**: 1.05 eV per formula unit
# **V**: 1050.5 Å³ per cell
data_Pm6Nd3Sm
_chemical_formula_sum 'Pm18 Nd9 Sm3'
_cell_length_a 10.0775
_cell_length_b 10.0775
_cell_length_c 11.9444
_cell_angle_alpha 90.00
_cell_angle_beta 90.00
_cell_angle_gamma 120.00
_space_group_name_H-M_alt 'R 3'
_space_group_IT_number 146
_space_group_name_Hall 'R 3'
loop_
_atom_site_label
_atom_site_type_symbol
_atom_site_fract_x
_atom_site_fract_y
_atom_site_fract_z
Pm1 Pm 0.0009 0.3264 0.0000
Pm2 Pm 0.0077 0.6672 0.1662
Nd1 Nd 0.0000 0.0000 0.9995
Nd2 Nd 0.0000 0.0000 0.4989
Nd3 Nd 0.0000 0.0000 0.7490
Sm1 Sm 0.0000 0.0000 0.2491

=====

3.
# CeZn2InAu2 | Alexandria | PBE-GGA | relaxed
# **Energy of formation from the pure elements**: -2.51 eV/f.u.
# **Density of states at the Fermi level**: 1.1847 states/eV per atom
# **Crystal system**: trigonal
# **V**: 125.0 Å³ per cell
data_CeZn2InAu2
_chemical_formula_sum 'Ce1 Zn2 In1 Au2'
_cell_length_a 4.6069
_cell_length_b 4.6069
_cell_length_c 6.8002
_cell_angle_alpha 90.00
_cell_angle_beta 90.00
_cell_angle_gamma 120.00
_space_group_name_H-M_alt 'P -3 m 1'
_space_group_IT_number 164
_space_group_name_Hall '-P 3 2"'
loop_
_atom_site_label
_atom_site_type_symbol
_atom_site_fract_x
_atom_site_fract_y
_atom_site_fract_z
Ce1 Ce 0.0000 0.0000 0.0000
Zn1 Zn 0.3333 0.6667 0.7335
In1 In 0.0000 0.0000 0.5000
Au1 Au 0.3333 0.6667 0.2594

=====

4.
# K10Te4S | Alexandria | PBE-GGA | relaxed
# **Density of states at the Fermi level**: 0.0000 states/eV per atom
# **Crystal system**: tetragonal
# **Formation energy without anion corrections**: -1.027 eV/atom
# **V**: 1313.9 Å³ per cell
data_K10Te4S
_chemical_formula_sum 'K20 Te8 S2'
_cell_length_a 12.752
_cell_length_b 12.752
_cell_length_c 8.080
_cell_angle_alpha 90.00
_cell_angle_beta 90.00
_cell_angle_gamma 90.00
_space_group_name_H-M_alt 'I 4/m'
_space_group_IT_number 87
_space_group_name_Hall '-I 4'
loop_
_atom_site_label
_atom_site_type_symbol
_atom_site_fract_x
_atom_site_fract_y
_atom_site_fract_z
K1 K 0.000 0.500 0.250
K2 K 0.095 0.810 0.237
Te1 Te 0.101 0.297 0.500
S1 S 0.000 0.000 0.000

=====

5.
# EuErIr4 | Alexandria | PBE-GGA | relaxed
# **Energy of formation from the pure elements**: -3.87 eV/f.u.
# **Density of states at the Fermi level**: 2.0468 states/eV per atom
# **Crystal system**: cubic
# **V**: 440.1 Å³ per cell
data_EuErIr4
_chemical_formula_sum 'Eu4 Er4 Ir16'
_cell_length_a 7.606
_cell_length_b 7.606
_cell_length_c 7.606
_cell_angle_alpha 90.00
_cell_angle_beta 90.00
_cell_angle_gamma 90.00
_space_group_name_H-M_alt 'F -4 3 m'
_space_group_IT_number 216
_space_group_name_Hall 'F -4 2 3'
loop_
_atom_site_label
_atom_site_type_symbol
_atom_site_fract_x
_atom_site_fract_y
_atom_site_fract_z
Eu1 Eu 0.000 0.000 0.000
Er1 Er 0.250 0.250 0.250
Ir1 Ir 0.125 0.125 0.625

=====

6.
# NbTcRu2 | Alexandria | PBE-GGA | relaxed
# **Energy of formation from the pure elements**: 2.41 eV/f.u.
# **Density of states at the Fermi level**: 1.1717 states/eV per atom
# **Crystal system**: trigonal
# **Relative energy among the computed polymorphs**: 2.68 eV per formula unit
# **V**: 207.1 Å³ per cell
data_NbTcRu2
_chemical_formula_sum 'Nb3 Tc3 Ru6'
_cell_length_a 3.5885
_cell_length_b 3.5885
_cell_length_c 18.5741
_cell_angle_alpha 90.00
_cell_angle_beta 90.00
_cell_angle_gamma 120.00
_space_group_name_H-M_alt 'R 3 m'
_space_group_IT_number 160
_space_group_name_Hall 'R 3 -2"'
loop_
_atom_site_label
_atom_site_type_symbol
_atom_site_fract_x
_atom_site_fract_y
_atom_site_fract_z
Nb1 Nb 0.0000 0.0000 0.0000
Tc1 Tc 0.0000 0.0000 0.8318
Ru1 Ru 0.0000 0.0000 0.4199
Ru2 Ru 0.0000 0.0000 0.5734

=====

7.
# Sm3Dy2Y7 | Alexandria | PBE-GGA | relaxed
# **Energy of formation from the pure elements**: 1.04 eV/f.u.
# **Density of states at the Fermi level**: 1.3141 states/eV per atom
# **Crystal system**: monoclinic
# **Relative energy among the computed polymorphs**: 0.05 eV per formula unit
# **V**: 393.9 Å³ per cell
data_Sm3Dy2Y7
_chemical_formula_sum 'Sm3 Dy2 Y7'
_cell_length_a 5.850
_cell_length_b 3.583
_cell_length_c 18.822
_cell_angle_alpha 90.00
_cell_angle_beta 93.20
_cell_angle_gamma 90.00
_space_group_name_H-M_alt 'P 1 2/m 1'
_space_group_IT_number 10
loop_
_space_group_symop_operation_xyz
'x,y,z'
'-x,-y,-z'
'-x,y,-z'
'x,-y,z'
loop_
_atom_site_label
_atom_site_type_symbol
_atom_site_fract_x
_atom_site_fract_y
_atom_site_fract_z
Sm1 Sm 0.000 0.000 0.000
Sm2 Sm 0.280 0.500 0.634
Dy1 Dy 0.208 0.000 0.293
Y1 Y 0.187 0.500 0.144
Y2 Y 0.243 0.000 0.463
Y3 Y 0.310 0.000 0.822
Y4 Y 0.500 0.500 0.000

=====

8.
# K2TeH2 | Alexandria | PBE-GGA | relaxed
# **Density of states at the Fermi level**: 0.0000 states/eV per atom
# **Crystal system**: monoclinic
# **Relative energy among the computed polymorphs**: 0.00 eV per formula unit
# **V**: 548.0 Å³ per cell
data_K2TeH2
_chemical_formula_sum 'K8 Te4 H8'
_cell_length_a 10.186
_cell_length_b 5.739
_cell_length_c 10.022
_cell_angle_alpha 90.00
_cell_angle_beta 110.72
_cell_angle_gamma 90.00
_space_group_name_H-M_alt 'C 1 2/c 1'
_space_group_IT_number 15
loop_
_space_group_symop_operation_xyz
'x,y,z'
'-x,-y,-z'
'-x,y,-z+1/2'
'x,-y,z+1/2'
'x+1/2,y+1/2,z'
'-x+1/2,-y+1/2,-z'
'-x+1/2,y+1/2,-z+1/2'
'x+1/2,-y+1/2,z+1/2'
loop_
_atom_site_label
_atom_site_type_symbol
_atom_site_fract_x
_atom_site_fract_y
_atom_site_fract_z
K1 K 0.127 0.234 0.127
Te1 Te 0.000 0.271 0.750
H1 H 0.222 0.295 0.481

=====

9.
# Sm6YHoEr2 | Alexandria | PBE-GGA | relaxed
# **Energy of formation from the pure elements**: 1.16 eV/f.u.
# **Density of states at the Fermi level**: 1.3984 states/eV per atom
# **Crystal system**: monoclinic
# **V**: 1326.0 Å³ per cell
data_Sm6YHoEr2
_chemical_formula_sum 'Sm24 Y4 Ho4 Er8'
_cell_length_a 9.153
_cell_length_b 15.231
_cell_length_c 9.588
_cell_angle_alpha 90.00
_cell_angle_beta 97.25
_cell_angle_gamma 90.00
_space_group_name_H-M_alt 'C 1 2/c 1'
_space_group_IT_number 15
loop_
_space_group_symop_operation_xyz
'x,y,z'
'-x,-y,-z'
'-x,y,-z+1/2'
'x,-y,z+1/2'
'x+1/2,y+1/2,z'
'-x+1/2,-y+1/2,-z'
'-x+1/2,y+1/2,-z+1/2'
'x+1/2,-y+1/2,z+1/2'
loop_
_atom_site_label
_atom_site_type_symbol
_atom_site_fract_x
_atom_site_fract_y
_atom_site_fract_z
Sm1 Sm 0.060 0.181 0.446
Sm2 Sm 0.102 0.392 0.619
Sm3 Sm 0.210 0.225 0.814
Y1 Y 0.000 0.026 0.750
Ho1 Ho 0.000 0.410 0.250
Er1 Er 0.249 0.448 0.955

=====

10.
# PuPaB4 | Alexandria | PBE-GGA | relaxed
# **Energy of formation from the pure elements**: -1.96 eV/f.u.
# **Density of states at the Fermi level**: 1.0292 states/eV per atom
# **Crystal system**: orthorhombic
# **Relative energy among the computed polymorphs**: 0.00 eV per formula unit
# **V**: 284.1 Å³ per cell
data_PuPaB4
_chemical_formula_sum 'Pu4 Pa4 B16'
_cell_length_a 7.375
_cell_length_b 9.461
_cell_length_c 4.072
_cell_angle_alpha 90.00
_cell_angle_beta 90.00
_cell_angle_gamma 90.00
_space_group_name_H-M_alt 'C m m m'
_space_group_IT_number 65
_space_group_name_Hall '-C 2 2'
loop_
_atom_site_label
_atom_site_type_symbol
_atom_site_fract_x
_atom_site_fract_y
_atom_site_fract_z
Pu1 Pu 0.172 0.000 0.000
Pa1 Pa 0.000 0.309 0.000
B1 B 0.000 0.100 0.500
B2 B 0.119 0.500 0.500
B3 B 0.224 0.162 0.500

=====

11.
# LaHoNiAg | Alexandria | PBE-GGA | relaxed
# **Energy of formation from the pure elements**: -1.00 eV/f.u.
# **Density of states at the Fermi level**: 0.5595 states/eV per atom
# **Crystal system**: cubic
# **V**: 375.8 Å³ per cell
data_LaHoNiAg
_chemical_formula_sum 'La4 Ho4 Ni4 Ag4'
_cell_length_a 7.216
_cell_length_b 7.216
_cell_length_c 7.216
_cell_angle_alpha 90.00
_cell_angle_beta 90.00
_cell_angle_gamma 90.00
_space_group_name_H-M_alt 'F -4 3 m'
_space_group_IT_number 216
_space_group_name_Hall 'F -4 2 3'
loop_
_atom_site_label
_atom_site_type_symbol
_atom_site_fract_x
_atom_site_fract_y
_atom_site_fract_z
La1 La 0.000 0.000 0.000
Ho1 Ho 0.000 0.000 0.500
Ni1 Ni 0.250 0.250 0.250
Ag1 Ag 0.250 0.250 0.750

=====

12.
# HfRhO | Alexandria | PBE-GGA | relaxed
# **Density of states at the Fermi level**: 0.5117 states/eV per atom
# **Crystal system**: orthorhombic
# **Formation energy without anion corrections**: -1.070 eV/atom
# **V**: 188.7 Å³ per cell
data_HfRhO
_chemical_formula_sum 'Hf4 Rh4 O4'
_cell_length_a 3.162
_cell_length_b 4.048
_cell_length_c 14.743
_cell_angle_alpha 90.00
_cell_angle_beta 90.00
_cell_angle_gamma 90.00
_space_group_name_H-M_alt 'I m m m'
_space_group_IT_number 71
_space_group_name_Hall '-I 2 2'
loop_
_atom_site_label
_atom_site_type_symbol
_atom_site_fract_x
_atom_site_fract_y
_atom_site_fract_z
Hf1 Hf 0.000 0.000 0.117
Rh1 Rh 0.000 0.000 0.302
O1 O 0.000 0.263 0.000